No. 1
A plane-wave DFT calculation with PBE was carried out for a relaxed InPPb2 crystal.

abc: 5.2949 5.2949 5.2949
angles: 60.00 60.00 60.00
Closest atoms and distances in Å follow each position.
Positions (direct):
In 0.0000 0.0000 0.0000  8 Pb 3.24
P 0.5000 0.5000 0.5000  8 Pb 3.24
Pb 0.2500 0.2500 0.2500  4 In 3.24, 4 P 3.24
Pb 0.7500 0.7500 0.7500  4 P 3.24, 4 In 3.24

Calculated values
The calculation puts the total DFT energy (no corrections) at -14.5 eV per cell. The formation enthalpy at 0 K is 260 meV/atom. The calculation puts the energy relative to the lowest polymorph listed for this composition at 215 meV per atom. Its space-group type is Fm-3m (225). As for the total magnetic moment: 0.00 μB per formula unit.

No. 2
A plane-wave DFT calculation with PBE was carried out for a relaxed In2PPb crystal.

abc: 3.6966 3.6966 7.3935
angles: 90.00 90.00 90.00
Closest atoms and distances in Å follow each position.
Positions (direct):
In 0.0000 0.0000 0.0233  4 In 3.26, 1 P 3.39, 4 Pb 3.50
In 0.5000 0.5000 0.2868  4 P 2.99, 1 Pb 3.11, 4 In 3.26
P 0.0000 0.0000 0.4820  4 In 2.99, 4 Pb 3.10
Pb 0.5000 0.5000 0.7079  4 P 3.10, 1 In 3.11

Calculated values
The calculation puts the total DFT energy (no corrections) at -14.0 eV per cell. The formation enthalpy at 0 K is 155 meV/atom. The calculation puts the energy relative to the lowest polymorph listed for this composition at 151 meV per atom. Its space-group type is P4mm (99). As for the total magnetic moment: 0.00 μB per formula unit.

No. 3
A plane-wave DFT calculation with PBE was carried out for a relaxed In12P5Pb3 crystal.

abc: 14.5984 14.5984 14.5984
angles: 109.47 109.47 109.47
Closest atoms and distances in Å follow each position.
Positions (direct):
Pb 0.7500 0.3750 0.1250  8 In 3.17-3.19
Pb 0.8750 0.7500 0.1250  8 In 3.17-3.19
Pb 0.3750 0.7500 0.6250  8 In 3.17-3.19
Pb 0.2500 0.1250 0.3750  8 In 3.17-3.19
Pb 0.8750 0.1250 0.2500  8 In 3.17-3.19
Pb 0.3750 0.6250 0.2500  8 In 3.17-3.19
Pb 0.6250 0.3750 0.7500  8 In 3.17-3.19
Pb 0.1250 0.8750 0.7500  8 In 3.17-3.19
Pb 0.7500 0.8750 0.6250  8 In 3.17-3.19
Pb 0.6250 0.2500 0.3750  8 In 3.17-3.19
Pb 0.1250 0.2500 0.8750  8 In 3.17-3.19
Pb 0.2500 0.6250 0.8750  8 In 3.17-3.19
P 0.1250 0.3750 0.2500  4 In 2.63
P 0.0000 0.5000 0.0000  6 In 2.80
P 0.0000 0.0000 0.0000  6 In 2.80
P 0.3750 0.2500 0.1250  4 In 2.63
P 0.5000 0.0000 0.5000  6 In 2.80
P 0.5000 0.5000 0.0000  6 In 2.80
P 0.1250 0.7500 0.3750  4 In 2.63
P 0.7500 0.1250 0.8750  4 In 2.63
P 0.7500 0.6250 0.3750  4 In 2.63
P 0.3750 0.1250 0.7500  4 In 2.63
P 0.6250 0.8750 0.2500  4 In 2.63
P 0.5000 0.5000 0.5000  6 In 2.80
P 0.5000 0.0000 0.0000  6 In 2.80
P 0.0000 0.0000 0.5000  6 In 2.80
P 0.2500 0.3750 0.6250  4 In 2.63
P 0.2500 0.8750 0.1250  4 In 2.63
P 0.0000 0.5000 0.5000  6 In 2.80
P 0.8750 0.2500 0.6250  4 In 2.63
P 0.6250 0.7500 0.8750  4 In 2.63
P 0.8750 0.6250 0.7500  4 In 2.63
In 0.7164 0.1286 0.0421  2 P 2.63-2.80
In 0.3257 0.5421 0.4135  2 P 2.63-2.80
In 0.9579 0.3714 0.2836  2 P 2.63-2.80
In 0.5421 0.2164 0.1286  2 P 2.63-2.80
In 0.5878 0.7164 0.6743  2 P 2.63-2.80
In 0.9579 0.5865 0.1743  2 P 2.63-2.80
In 0.3257 0.7836 0.4122  2 P 2.63-2.80
In 0.0865 0.9122 0.1286  2 P 2.63-2.80
In 0.5865 0.9579 0.6743  2 P 2.63-2.80
In 0.7164 0.5878 0.1743  2 P 2.63-2.80
In 0.7836 0.4579 0.3714  2 P 2.63-2.80
In 0.8257 0.9135 0.0421  2 P 2.63-2.80
In 0.1286 0.7164 0.5421  2 P 2.63-2.80
In 0.3714 0.4135 0.0878  2 P 2.63-2.80
In 0.0878 0.9135 0.3714  2 P 2.63-2.80
In 0.4122 0.1286 0.5865  2 P 2.63-2.80
In 0.0878 0.1743 0.2164  2 P 2.63-2.80
In 0.4579 0.6743 0.0865  2 P 2.63-2.80
In 0.8257 0.9122 0.2836  2 P 2.63-2.80
In 0.1286 0.4122 0.0865  2 P 2.63-2.80
In 0.3714 0.9579 0.7836  2 P 2.63-2.80
In 0.5865 0.6286 0.4122  2 P 2.63-2.80
In 0.9135 0.8257 0.5421  2 P 2.63-2.80
In 0.7836 0.3257 0.9122  2 P 2.63-2.80
In 0.4135 0.3714 0.5878  2 P 2.63-2.80
In 0.0865 0.1743 0.4579  2 P 2.63-2.80
In 0.2164 0.6743 0.0878  2 P 2.63-2.80
In 0.1743 0.0878 0.7164  2 P 2.63-2.80
In 0.6286 0.0421 0.2164  2 P 2.63-2.80
In 0.8714 0.5878 0.9135  2 P 2.63-2.80
In 0.5421 0.3257 0.9135  2 P 2.63-2.80
In 0.5878 0.8714 0.4135  2 P 2.63-2.80
In 0.9122 0.8257 0.7836  2 P 2.63-2.80
In 0.9122 0.0865 0.6286  2 P 2.63-2.80
In 0.8714 0.2836 0.4579  2 P 2.63-2.80
In 0.1743 0.0865 0.9579  2 P 2.63-2.80
In 0.6286 0.5865 0.9122  2 P 2.63-2.80
In 0.4135 0.0421 0.3257  2 P 2.63-2.80
In 0.2836 0.4122 0.8257  2 P 2.63-2.80
In 0.2164 0.5421 0.6286  2 P 2.63-2.80
In 0.9135 0.0878 0.8714  2 P 2.63-2.80
In 0.6743 0.2164 0.5878  2 P 2.63-2.80
In 0.4579 0.7836 0.8714  2 P 2.63-2.80
In 0.0421 0.4135 0.8257  2 P 2.63-2.80
In 0.4122 0.2836 0.3257  2 P 2.63-2.80
In 0.0421 0.6286 0.7164  2 P 2.63-2.80
In 0.6743 0.4579 0.5865  2 P 2.63-2.80
In 0.2836 0.8714 0.9579  2 P 2.63-2.80

Calculated values
The calculation puts the total DFT energy (no corrections) at -274.0 eV per cell. The formation enthalpy at 0 K is 127 meV/atom. Its space-group type is Ia-3d (230). As for the total magnetic moment: 0.00 μB per formula unit.

No. 4
A plane-wave DFT calculation with PBE was carried out for a relaxed InP2Pb crystal.

abc: 4.9991 4.9991 4.9991
angles: 60.00 60.00 60.00
Closest atoms and distances in Å follow each position.
Positions (direct):
In 0.5000 0.5000 0.5000  4 Pb 3.06, 4 P 3.06
P 0.0000 0.0000 0.0000  4 P 3.06, 4 Pb 3.06
P 0.7500 0.7500 0.7500  4 In 3.06, 4 P 3.06
Pb 0.2500 0.2500 0.2500  4 P 3.06, 4 In 3.06

Calculated values
The calculation puts the total DFT energy (no corrections) at -15.0 eV per cell. The formation enthalpy at 0 K is 569 meV/atom. The calculation puts the energy relative to the lowest polymorph listed for this composition at 492 meV per atom. Its space-group type is F-43m (216). As for the total magnetic moment: 0.00 μB per formula unit.

No. 5
A plane-wave DFT calculation with PBE was carried out for a relaxed InP2Pb crystal.

abc: 3.2134 3.2134 9.2613
angles: 90.00 90.00 90.00
Closest atoms and distances in Å follow each position.
Positions (direct):
In 0.5000 0.5000 0.7857  1 P 2.81
P 0.0000 0.0000 0.1579  4 P 2.36
P 0.5000 0.5000 0.0888  4 P 2.36
Pb 0.0000 0.0000 0.4676  1 P 2.87

Calculated values
The calculation puts the total DFT energy (no corrections) at -16.8 eV per cell. The formation enthalpy at 0 K is 114 meV/atom. The calculation puts the energy relative to the lowest polymorph listed for this composition at 37 meV per atom. Its space-group type is P4mm (99). As for the total magnetic moment: 0.00 μB per formula unit.

No. 6
A plane-wave DFT calculation with PBE was carried out for a relaxed InPPb2 crystal.

abc: 3.7075 3.7366 8.5744
angles: 64.57 90.00 90.00
Closest atoms and distances in Å follow each position.
Positions (direct):
In 0.5000 0.2500 0.2500  8 Pb 3.46-3.49, 4 In 3.71-3.74, 2 P 3.87
P 0.5000 0.7500 0.7500  8 Pb 3.08
Pb 0.0000 0.0453 0.9567  4 P 3.08, 1 Pb 3.20
Pb 0.0000 0.4547 0.5433  4 P 3.08, 1 Pb 3.20

Calculated values
The calculation puts the total DFT energy (no corrections) at -14.9 eV per cell. The formation enthalpy at 0 K is 173 meV/atom. The calculation puts the energy relative to the lowest polymorph listed for this composition at 128 meV per atom. Its space-group type is P2/m (10). As for the total magnetic moment: 0.00 μB per formula unit.

No. 7
A plane-wave DFT calculation with PBE was carried out for a relaxed In3PPb crystal.

abc: 5.6834 5.6834 5.6834
angles: 90.00 90.00 90.00
Closest atoms and distances in Å follow each position.
Positions (direct):
Pb 0.0000 0.0000 0.0000  6 In 2.84
P 0.5000 0.5000 0.5000  12 In 4.02
In 0.0000 0.5000 0.0000  2 Pb 2.84
In 0.0000 0.0000 0.5000  2 Pb 2.84
In 0.5000 0.0000 0.0000  2 Pb 2.84

Calculated values
The calculation puts the total DFT energy (no corrections) at -12.8 eV per cell. The formation enthalpy at 0 K is 900 meV/atom. The calculation puts the energy relative to the lowest polymorph listed for this composition at 631 meV per atom. Its space-group type is Pm-3m (221). As for the total magnetic moment: 0.00 μB per formula unit.

No. 8
A plane-wave DFT calculation with PBE was carried out for a relaxed In2PPb crystal.

abc: 6.1412 6.1412 5.2336
angles: 65.34 65.34 35.17
Closest atoms and distances in Å follow each position.
Positions (direct):
In 0.0476 0.0476 0.9525  2 P 2.83
In 0.4524 0.4524 0.5475  2 P 2.83
P 0.7500 0.7500 0.7500  4 In 2.83
Pb 0.2500 0.2500 0.2500  4 P 3.21, 4 In 3.36-3.39

Calculated values
The calculation puts the total DFT energy (no corrections) at -14.1 eV per cell. The formation enthalpy at 0 K is 113 meV/atom. The calculation puts the energy relative to the lowest polymorph listed for this composition at 109 meV per atom. Its space-group type is C2/m (12). As for the total magnetic moment: 0.00 μB per formula unit.

No. 9
A plane-wave DFT calculation with PBE was carried out for a relaxed InPPb2 crystal.

abc: 5.3134 5.3134 5.3134
angles: 60.00 60.00 60.00
Closest atoms and distances in Å follow each position.
Positions (direct):
In 0.5000 0.5000 0.5000  4 Pb 3.25, 4 P 3.25
P 0.7500 0.7500 0.7500  4 In 3.25, 4 Pb 3.25
Pb 0.0000 0.0000 0.0000  4 Pb 3.25, 4 P 3.25
Pb 0.2500 0.2500 0.2500  4 In 3.25, 4 Pb 3.25

Calculated values
The calculation puts the total DFT energy (no corrections) at -14.4 eV per cell. The formation enthalpy at 0 K is 303 meV/atom. The calculation puts the energy relative to the lowest polymorph listed for this composition at 257 meV per atom. Its space-group type is F-43m (216). As for the total magnetic moment: 0.00 μB per formula unit.

No. 10
A plane-wave DFT calculation with PBE was carried out for a relaxed In2PPb crystal.

abc: 6.2045 6.2045 6.2045
angles: 144.46 130.45 62.45
Closest atoms and distances in Å follow each position.
Positions (direct):
In 0.0017 0.0017 0.0000  4 P 3.22, 2 Pb 3.35, 2 In 3.36
In 0.3010 0.8010 0.5000  2 P 2.81
P 0.4961 0.4961 0.0000  2 In 2.81, 2 Pb 2.88
Pb 0.7011 0.2011 0.5000  2 P 2.88

Calculated values
The calculation puts the total DFT energy (no corrections) at -14.0 eV per cell. The formation enthalpy at 0 K is 143 meV/atom. The calculation puts the energy relative to the lowest polymorph listed for this composition at 139 meV per atom. Its space-group type is Imm2 (44). As for the total magnetic moment: 0.00 μB per formula unit.

No. 11
A plane-wave DFT calculation with PBE was carried out for a relaxed In2PPb crystal.

abc: 4.4373 4.4373 5.2267
angles: 90.00 90.00 90.00
Closest atoms and distances in Å follow each position.
Positions (direct):
In 0.0000 0.0000 0.0000  4 In 3.14, 4 Pb 3.43, 4 P 3.43
In 0.5000 0.5000 0.0000  4 In 3.14, 4 Pb 3.43, 4 P 3.43
P 0.5000 0.0000 0.5000  4 Pb 3.14, 8 In 3.43
Pb 0.0000 0.5000 0.5000  4 P 3.14, 8 In 3.43

Calculated values
The calculation puts the total DFT energy (no corrections) at -13.7 eV per cell. The formation enthalpy at 0 K is 212 meV/atom. The calculation puts the energy relative to the lowest polymorph listed for this composition at 208 meV per atom. Its space-group type is P4/mmm (123). As for the total magnetic moment: 0.00 μB per formula unit.

No. 12
A plane-wave DFT calculation with PBE was carried out for a relaxed InP2Pb crystal.

abc: 4.4829 4.4829 7.6170
angles: 72.26 72.26 43.35
Closest atoms and distances in Å follow each position.
Positions (direct):
In 0.2796 0.2796 0.2006  3 P 2.74-2.96
P 0.0733 0.0733 0.9856  2 P 2.23
P 0.6668 0.6668 0.7805  2 P 2.23
Pb 0.4803 0.4803 0.5332  1 P 2.81

Calculated values
The calculation puts the total DFT energy (no corrections) at -17.0 eV per cell. The formation enthalpy at 0 K is 77 meV/atom. The calculation puts the energy relative to the lowest polymorph listed for this composition at 0 meV per atom. Its space-group type is Cm (8). As for the total magnetic moment: 0.00 μB per formula unit.